Below is BH2Pd4 after structural relaxation, with properties calculated at the PBE-GGA level.

Unit cell a=5.8376 b=5.8376 c=5.8376 alpha=115.63 beta=104.45 gamma=108.54
Atoms (fractional coordinates):
B 0.4755 0.2255 0.2500
B 0.5245 0.7745 0.7500
H 0.0000 0.0000 0.5000
H 0.0000 0.5000 0.0000
H 0.0000 0.5000 0.5000
H 0.5000 0.5000 0.0000
Pd 0.1946 0.2378 0.9569
Pd 0.2191 0.7622 0.4569
Pd 0.2884 0.3031 0.5147
Pd 0.2884 0.7737 0.9853
Pd 0.7116 0.2263 0.0147
Pd 0.7116 0.6969 0.4853
Pd 0.7809 0.2378 0.5431
Pd 0.8054 0.7622 0.0431

Calculated values
Size of the total moment, μB per formula unit: 0.00
ΔE to the lowest computed polymorph, meV per atom: 27
Symmetry: No. 74

***

Below is B2HPd8 after structural relaxation, with properties calculated at the PBE-GGA level.

Unit cell a=5.9212 b=5.9212 c=4.7791 alpha=101.35 beta=101.35 gamma=113.32
Atoms (fractional coordinates):
B 0.1894 0.8106 0.0000
B 0.8106 0.1894 0.0000
H 0.5000 0.5000 0.5000
Pd 0.1330 0.1330 0.3050
Pd 0.1387 0.4071 0.8734
Pd 0.3213 0.6787 0.5000
Pd 0.4071 0.1387 0.8734
Pd 0.5929 0.8613 0.1266
Pd 0.6787 0.3213 0.5000
Pd 0.8613 0.5929 0.1266
Pd 0.8670 0.8670 0.6950

Calculated values
Size of the total moment, μB per formula unit: 0.00
ΔE to the lowest computed polymorph, meV per atom: 121
Symmetry: No. 12

***

Below is BHPd3 after structural relaxation, with properties calculated at the PBE-GGA level.

Unit cell a=3.8596 b=3.8596 c=3.8596 alpha=90.00 beta=90.00 gamma=90.00
Atoms (fractional coordinates):
B 0.0000 0.0000 0.0000
H 0.5000 0.5000 0.5000
Pd 0.0000 0.5000 0.5000
Pd 0.5000 0.0000 0.5000
Pd 0.5000 0.5000 0.0000

Calculated values
Size of the total moment, μB per formula unit: 0.00
ΔE to the lowest computed polymorph, meV per atom: 511
Symmetry: No. 221

***

Below is BHPd4 after structural relaxation, with properties calculated at the PBE-GGA level.

Unit cell a=4.9517 b=4.9517 c=3.0035 alpha=90.00 beta=90.00 gamma=91.16
Atoms (fractional coordinates):
B 0.0000 0.0000 0.0000
H 0.5000 0.5000 0.5000
Pd 0.2123 0.2123 0.5000
Pd 0.2947 0.7053 0.0000
Pd 0.7053 0.2947 0.0000
Pd 0.7877 0.7877 0.5000

Calculated values
Size of the total moment, μB per formula unit: 0.00
ΔE to the lowest computed polymorph, meV per atom: 20
Symmetry: No. 65

***

Below is BH2Pd8 after structural relaxation, with properties calculated at the PBE-GGA level.

Unit cell a=5.6833 b=5.6833 c=4.9731 alpha=90.77 beta=90.77 gamma=60.31
Atoms (fractional coordinates):
B 0.0000 0.0000 0.0000
H 0.2112 0.2112 0.6944
H 0.7888 0.7888 0.3056
Pd 0.1286 0.1286 0.3355
Pd 0.1300 0.6165 0.1643
Pd 0.3835 0.8700 0.8357
Pd 0.3855 0.3855 0.6619
Pd 0.6145 0.6145 0.3382
Pd 0.6165 0.1300 0.1643
Pd 0.8700 0.3835 0.8357
Pd 0.8714 0.8714 0.6645

Calculated values
Size of the total moment, μB per formula unit: 0.00
ΔE to the lowest computed polymorph, meV per atom: 0
Symmetry: No. 12

***

Below is BH2Pd4 after structural relaxation, with properties calculated at the PBE-GGA level.

Unit cell a=3.1003 b=5.0000 c=5.6176 alpha=66.30 beta=74.14 gamma=89.98
Atoms (fractional coordinates):
B 0.0000 0.0000 0.0000
H 0.3127 0.3381 0.3795
H 0.6873 0.6619 0.6205
Pd 0.1244 0.4529 0.7479
Pd 0.3771 0.0464 0.2493
Pd 0.6229 0.9536 0.7507
Pd 0.8756 0.5471 0.2521

Calculated values
Size of the total moment, μB per formula unit: 0.00
ΔE to the lowest computed polymorph, meV per atom: 0
Symmetry: No. 2

***

Below is BH2Pd2 after structural relaxation, with properties calculated at the PBE-GGA level.

Unit cell a=5.6032 b=5.6032 c=3.4636 alpha=90.00 beta=90.00 gamma=90.00
Atoms (fractional coordinates):
B 0.0000 0.0000 0.0000
B 0.5000 0.5000 0.0000
H 0.1673 0.3327 0.5000
H 0.3327 0.8327 0.5000
H 0.6673 0.1673 0.5000
H 0.8327 0.6673 0.5000
Pd 0.1706 0.3294 0.0000
Pd 0.3294 0.8294 0.0000
Pd 0.6706 0.1706 0.0000
Pd 0.8294 0.6706 0.0000

Calculated values
Size of the total moment, μB per formula unit: 0.00
ΔE to the lowest computed polymorph, meV per atom: 0
Symmetry: No. 127

***

Below is BH2Pd5 after structural relaxation, with properties calculated at the PBE-GGA level.

Unit cell a=8.0263 b=9.6727 c=4.9701 alpha=90.00 beta=107.92 gamma=90.00
Atoms (fractional coordinates):
B 0.2107 0.0006 0.1074
B 0.2107 0.4994 0.6074
B 0.7893 0.5006 0.3926
B 0.7893 0.9994 0.8926
H 0.0021 0.1893 0.4785
H 0.0021 0.3107 0.9785
H 0.4050 0.5421 0.2122
H 0.4050 0.9579 0.7122
H 0.5950 0.0421 0.2878
H 0.5950 0.4579 0.7878
H 0.9979 0.6893 0.0215
H 0.9979 0.8107 0.5215
Pd 0.0006 0.1226 0.8352
Pd 0.0006 0.3774 0.3352
Pd 0.2073 0.6286 0.2720
Pd 0.2073 0.8714 0.7720
Pd 0.2080 0.1293 0.4374
Pd 0.2080 0.3707 0.9374
Pd 0.4031 0.1254 0.0257
Pd 0.4031 0.3746 0.5257
Pd 0.4033 0.6246 0.8753
Pd 0.4033 0.8754 0.3753
Pd 0.5967 0.1246 0.6247
Pd 0.5967 0.3754 0.1247
Pd 0.5969 0.6254 0.4743
Pd 0.5969 0.8746 0.9743
Pd 0.7920 0.6293 0.0626
Pd 0.7920 0.8707 0.5626
Pd 0.7927 0.1286 0.2280
Pd 0.7927 0.3714 0.7280
Pd 0.9994 0.6226 0.6648
Pd 0.9994 0.8774 0.1648

Calculated values
Size of the total moment, μB per formula unit: 0.00
Symmetry: No. 14

***

Calculated raw total energy (eV per atom), listed in the same order as above: -5.0012 -5.3472 -4.7951 -5.3045 -5.1153 -5.0282 -4.5523 -5.0656